(1)
CuAgPbSe2 | PBE | optimized geometry

Cell lengths 7.1504, 4.5995, 7.6729 Å; angles 90.00, 100.21, 90.00 degrees
Fractional positions:
Cu (0.0000, 0.0000, 0.0000)
Cu (0.0000, 0.0000, 0.5000)
Ag (0.0000, 0.4974, 0.2500)
Ag (0.0000, 0.5026, 0.7500)
Pb (0.5000, 0.1681, 0.7500)
Pb (0.5000, 0.8319, 0.2500)
Se (0.2614, 0.2948, 0.0422)
Se (0.2614, 0.7052, 0.5422)
Se (0.7386, 0.2948, 0.4578)
Se (0.7386, 0.7052, 0.9578)

Computed properties:
The formation energy from raw total energies comes out at -0.243 eV per atom.


(2)
BaNb2Ni2 | PBE | optimized geometry

Cell lengths 7.4513, 7.4513, 7.4513 Å; angles 148.54, 148.54, 45.09 degrees
Fractional positions:
Ba (0.0000, 0.0000, 0.0000)
Nb (0.2500, 0.7500, 0.5000)
Nb (0.7500, 0.2500, 0.5000)
Ni (0.3654, 0.3654, 0.0000)
Ni (0.6346, 0.6346, 0.0000)

Computed properties:
The density of states at the Fermi level is 1.684 states/eV/atom. The calculation puts the formation enthalpy at 0 K at 278 meV/atom.


(3)
NaZn2Cl | PBE | optimized geometry

Cell lengths 5.3462, 5.3462, 5.3462 Å; angles 60.00, 60.00, 60.00 degrees
Fractional positions:
Na (0.0000, 0.0000, 0.0000)
Zn (0.2500, 0.2500, 0.2500)
Zn (0.7500, 0.7500, 0.7500)
Cl (0.5000, 0.5000, 0.5000)

Computed properties:
The density of states at the Fermi level is 0.014 states/eV/atom. The formation energy from raw total energies comes out at -0.073 eV per atom.


(4)
Mg2NbBr | PBE | optimized geometry

Cell lengths 6.3154, 6.3154, 6.3154 Å; angles 102.52, 102.52, 124.50 degrees
Fractional positions:
Mg (0.1038, 0.6250, 0.9788)
Mg (0.3750, 0.3538, 0.4788)
Mg (0.6462, 0.1250, 0.0212)
Mg (0.8750, 0.8962, 0.5212)
Nb (0.2500, 0.7500, 0.5000)
Nb (0.5000, 0.5000, 0.0000)
Br (0.0000, 0.0000, 0.0000)
Br (0.7500, 0.2500, 0.5000)

Computed properties:
The density of states at the Fermi level is 0.980 states/eV/atom. The formation energy from raw total energies comes out at 0.487 eV per atom.


(5)
FeCoTeN2 | PBE | optimized geometry

Cell lengths 3.5762, 3.5762, 5.6647 Å; angles 90.00, 90.00, 90.00 degrees
Fractional positions:
Fe (0.0000, 0.0000, 0.0000)
Co (0.5000, 0.5000, 0.5000)
Te (0.0000, 0.0000, 0.5000)
N (0.0000, 0.5000, 0.0000)
N (0.5000, 0.0000, 0.0000)

Computed properties:
The density of states at the Fermi level is 0.639 states/eV/atom. The formation energy from raw total energies comes out at 0.938 eV per atom.


(6)
FeNiHRh2 | PBE | optimized geometry

Cell lengths 3.8333, 3.8333, 3.7536 Å; angles 90.00, 90.00, 90.00 degrees
Fractional positions:
Fe (0.0000, 0.0000, 0.0000)
Ni (0.5000, 0.5000, 0.0000)
H (0.0000, 0.0000, 0.5000)
Rh (0.0000, 0.5000, 0.5000)
Rh (0.5000, 0.0000, 0.5000)

Computed properties:
The density of states at the Fermi level is 0.799 states/eV/atom. As for the total energy: -32.32 eV/f.u.


(7)
Cs2CdIrN | PBE | optimized geometry

Cell lengths 6.7066, 6.7066, 3.7379 Å; angles 90.00, 90.00, 90.00 degrees
Fractional positions:
Cs (0.0000, 0.5000, 0.0000)
Cs (0.5000, 0.0000, 0.0000)
Cd (0.0000, 0.0000, 0.5000)
Ir (0.5000, 0.5000, 0.5000)
N (0.5000, 0.5000, 0.0000)

Computed properties:
The density of states at the Fermi level is 0.625 states/eV/atom. The formation energy from raw total energies comes out at 0.058 eV per atom.


(8)
LaAsSe2S | PBE | optimized geometry

Cell lengths 4.9265, 4.9265, 4.8927 Å; angles 90.00, 90.00, 90.00 degrees
Fractional positions:
La (0.0000, 0.0000, 0.0000)
As (0.5000, 0.5000, 0.0000)
Se (0.0000, 0.5000, 0.5000)
Se (0.5000, 0.0000, 0.5000)
S (0.5000, 0.5000, 0.5000)

Computed properties:
The density of states at the Fermi level is 0.370 states/eV/atom. The formation energy from raw total energies comes out at -0.495 eV per atom.